1.
First-principles (PBE-GGA) data for an optimized crystal structure of RbRh2Br2, as listed in Alexandria via LeMat-Bulk.

abc: 8.937 8.937 3.728
angles: 90.00 90.00 90.00
Positions (direct):
1 Rh 0.263 0.237 0.500
2 Rh 0.763 0.263 0.500
3 Rh 0.737 0.763 0.500
4 Rh 0.237 0.737 0.500
5 Rb 0.000 0.000 0.000
6 Rb 0.500 0.500 0.000
7 Br 0.853 0.647 0.000
8 Br 0.147 0.353 0.000
9 Br 0.353 0.853 0.000
10 Br 0.647 0.147 0.000

ΔE_f (raw) ... 0.354 eV/atom
D(E_F) ... 1.58 states/eV/atom
V ... 29.8 Å³/atom

2.
First-principles (PBE-GGA) data for an optimized crystal structure of CoRe3, as listed in Alexandria via LeMat-Bulk.

abc: 4.693 4.693 2.709
angles: 90.00 90.00 109.81
Positions (direct):
1 Re 0.500 0.000 0.500
2 Re 0.500 0.500 0.000
3 Re 0.000 0.500 0.500
4 Co 0.000 0.000 0.000

Formation energy ... 91 meV/atom
D(E_F) ... 0.79 states/eV/atom
V ... 14.0 Å³/atom

3.
First-principles (PBE-GGA) data for an optimized crystal structure of Tl2HgI, as listed in Alexandria via LeMat-Bulk.

abc: 5.527 5.527 6.370
angles: 64.29 64.29 60.00
Positions (direct):
1 Hg 0.500 0.500 0.500
2 I 0.000 0.000 0.000
3 Tl 0.219 0.219 0.342
4 Tl 0.781 0.781 0.658

ΔE_f (raw) ... -0.201 eV/atom
D(E_F) ... 0.65 states/eV/atom
V ... 36.5 Å³/atom